Material: Li2P5WO15
Method: DFT, PBE with a Hubbard U
State: optimized geometry

## Properties
- V: 666 Å³ per cell
- Energy relative to the lowest polymorph listed for this composition: 0 meV/atom
- DOS(E_F): 0.00 states/eV per atom

CIF file:
```
data_Li2P5WO15
_space_group_name_H-M_alt 'P 1 21/m 1'
_space_group_IT_number 11
_space_group_name_Hall '-P 2yb'
_cell_length_a 5.3568
_cell_length_b 14.2077
_cell_length_c 8.9589
_cell_angle_alpha 90.00
_cell_angle_beta 102.40
_cell_angle_gamma 90.00
loop_
_atom_site_label
_atom_site_fract_x
_atom_site_fract_y
_atom_site_fract_z
Li1 0.1581 0.1490 0.0942
P1 0.0133 0.1449 0.5227
P2 0.3563 0.0873 0.8207
P3 0.3807 0.7500 0.0060
W1 0.5000 0.0000 0.5000
O1 0.0407 0.2500 0.4638
O2 0.1051 0.7500 0.9236
O3 0.1559 0.0836 0.4310
O4 0.1578 0.1513 0.6973
O5 0.2285 0.0612 0.9461
O6 0.2650 0.6247 0.4877
O7 0.4131 0.2500 0.0842
O8 0.4145 0.6619 0.1234
O9 0.4631 0.0118 0.7340
```